# Pm5CdPb3 | Alexandria | PBE | optimized geometry
data_Pm5CdPb3
_cell_length_a 9.6480
_cell_length_b 9.6480
_cell_length_c 6.7264
_cell_angle_alpha 90.00
_cell_angle_beta 90.00
_cell_angle_gamma 120.00
_symmetry_space_group_name_H-M 'P 63/m c m'
_symmetry_Int_Tables_number 193
_symmetry_space_group_name_Hall '-P 6c 2'
loop_
_atom_site_label
_atom_site_type_symbol
_atom_site_fract_x
_atom_site_fract_y
_atom_site_fract_z
Pm1 Pm 0.0000 0.2831 0.2500
Pm2 Pm 0.3333 0.6667 0.0000
Cd1 Cd 0.0000 0.0000 0.0000
Pb1 Pb 0.0000 0.3717 0.7500
# E_tot   -80.94 eV per cell
# Density of states at the Fermi level   1.01 states/eV per atom